Entry 1:
The following is a PBE-GGA calculation of a geometry-optimized Sm2Dy2CI2Br2Cl structure, from the Open Quantum Materials Database.

Structure (extended XYZ):
```
10
Lattice="9.2095 -1.9363 0.0000 9.2095 1.9363 0.0000 -1.6676 0.0000 7.9812" Properties=species:S:1:pos:R:3 pbc="T T T"
Sm 5.1339 0.0000 7.4326
Sm 11.6176 0.0000 0.5487
Br 1.6986 0.0000 6.5393
Br 15.0529 0.0000 1.4419
Cl 8.3757 0.0000 3.9906
I 2.3913 0.0000 2.9334
I 14.3602 0.0000 5.0478
Dy 18.0274 0.0000 1.6191
Dy -1.2759 0.0000 6.3621
C 9.2095 0.0000 0.0000
```

Output
Offset from the most stable computed form ... 0.026 eV/atom
Symmetry ... C2/m

***

Entry 2:
The following is a PBE-GGA calculation of a geometry-optimized NdHgGe6 structure, from the Open Quantum Materials Database.

Structure (extended XYZ):
```
8
Lattice="4.2858 2.4744 2.6984 -4.2858 2.4744 2.6984 0.0000 -4.9488 2.6984" Properties=species:S:1:pos:R:3 pbc="T T T"
Ge 3.0860 0.4096 4.5372
Ge -1.8977 2.4677 4.5372
Ge -3.0859 -0.4096 3.5581
Ge 1.8977 -2.4677 3.5581
Ge 1.1883 2.8773 3.5581
Ge -1.1883 -2.8773 4.5372
Nd 0.0000 0.0000 4.0476
Hg 0.0000 0.0000 0.0000
```

Output
Symmetry ... R-3

***

Entry 3:
The following is a PBE-GGA calculation of a geometry-optimized ScGe2W structure, from the Open Quantum Materials Database.

Structure (extended XYZ):
```
4
Lattice="-1.2371 0.2913 4.4391 -2.7112 3.4578 1.4190 -4.3659 -0.8493 1.2405" Properties=species:S:1:pos:R:3 pbc="T T T"
Ge -2.0786 0.7249 1.7747
Ge -4.1571 1.4499 3.5494
Sc 0.0000 0.0000 0.0000
W -6.2357 2.1748 5.3240
```

Output
Symmetry ... F-43m

***

no.,electronic total energy (eV for the cell shown)
1,-49.37
2,-32.19
3,-27.01